Below is a relaxed structure of Li2VO, with properties calculated at the PBE with a Hubbard U level. Values from VASP.

Geometry as Quantum ESPRESSO input:
```
&SYSTEM
  ibrav = 0, nat = 8, ntyp = 3
/
ATOMIC_SPECIES
Li 6.94 Li.upf
O 16.00 O.upf
V 50.94 V.upf
ATOMIC_POSITIONS angstrom
Li -6.571 0.783 -0.168
Li -3.936 1.045 3.153
O -5.160 1.376 1.382
V -7.111 1.596 4.889
Li -8.987 0.743 1.863
Li -12.215 1.987 4.328
O -8.744 0.683 -0.301
V 0.000 0.000 0.000
CELL_PARAMETERS angstrom
-3.527 2.289 6.571
-6.793 0.464 -3.808
-5.535 -0.473 1.825
```

Results
E = -4.65 eV/atom
spin magnetization = 5.756 μB per cell
symmetry = I-42d, No. 122